Below is crystalline YReP2 at its relaxed geometry, with properties calculated at the PBE level.

The relative energy among the computed polymorphs is 825 meV/atom. For the formation enthalpy at 0 K, the calculation gives 123 meV per atom. As for the calculated total energy: -87.72 eV for the cell shown. The mass density is 7.9 g cm⁻³.

The structure belongs to space group R3m (No. 160, hexagonal axes); the cell edges are 3.2096, 3.2096 and 23.8352 Å and the angles 90.00°, 90.00° and 120.00°. The inequivalent atoms are Y at (0.0000, 0.0000, 0.0000), Re at (0.0000, 0.0000, 0.7662), P at (0.0000, 0.0000, 0.2407) and P at (0.0000, 0.0000, 0.4986).